Entry 1:
A plane-wave DFT calculation with GGA-PBEsol was carried out for crystalline Mn3WN at its relaxed geometry.

abc: 3.730 3.730 3.730
angles: 90.00 90.00 90.00
Sites, in units of the cell vectors:
Mn 0.000 0.500 0.000
Mn 0.000 0.000 0.500
Mn 0.500 0.000 0.000
W 0.500 0.500 0.500
N 0.000 0.000 0.000

Values from the calculation:
Symmetry: No. 221
E, eV/atom: -10.535
Total magnetic moment, μB per atom: 0.000
Raw formation energy, kcal/mol of atoms: -4.88

---

Entry 2:
A plane-wave DFT calculation with GGA-PBEsol was carried out for crystalline LaCrO3 at its relaxed geometry.

abc: 5.472 5.468 7.724
angles: 90.00 90.00 90.00
Last column: magnetic moment on the atom in μB.
Sites, in units of the cell vectors:
La 0.506 0.468 0.250  0.05
La 0.994 0.968 0.250  0.05
La 0.006 0.032 0.750  0.05
La 0.494 0.532 0.750  0.05
Cr 0.500 0.000 0.000  2.70
Cr 0.000 0.500 0.500  2.70
Cr 0.000 0.500 0.000  2.70
Cr 0.500 0.000 0.500  2.70
O 0.572 0.988 0.750  0.03
O 0.928 0.488 0.750  0.03
O 0.072 0.512 0.250  0.03
O 0.428 0.012 0.250  0.03
O 0.216 0.784 0.961  0.03
O 0.284 0.284 0.539  0.03
O 0.716 0.716 0.039  0.03
O 0.784 0.216 0.461  0.03
O 0.784 0.216 0.039  0.03
O 0.716 0.716 0.461  0.03
O 0.284 0.284 0.961  0.03
O 0.216 0.784 0.539  0.03

Values from the calculation:
Symmetry: No. 62
E, eV/atom: -9.064
Total magnetic moment, μB per atom: 0.600
Raw formation energy, kcal/mol of atoms: -64.49

---

Entry 3:
A plane-wave DFT calculation with GGA-PBEsol was carried out for crystalline LaFeCo2 at its relaxed geometry.

abc: 3.994 3.994 5.391
angles: 68.26 68.26 60.00
Last column: magnetic moment on the atom in μB.
Sites, in units of the cell vectors:
Co 0.812 0.812 0.563  0.84
Co 0.188 0.188 0.437  0.84
Fe 0.500 0.500 0.500  1.77
La 0.000 0.000 0.000  -0.20

Values from the calculation:
Symmetry: No. 166
E, eV/atom: -7.441
Formation energy from the elements, meV/atom: 5
Total magnetic moment, μB per atom: 0.753

---

Entry 4:
A plane-wave DFT calculation with GGA-PBEsol was carried out for crystalline Ba2NiP at its relaxed geometry.

abc: 4.094 4.319 8.524
angles: 104.68 103.89 90.00
Last column: magnetic moment on the atom in μB.
Sites, in units of the cell vectors:
Ni 0.396 0.396 0.792  0.04
Ba 0.992 0.992 0.984  0.08
Ba 0.260 0.760 0.519  0.07
P 0.852 0.352 0.704  0.02

Values from the calculation:
Symmetry: No. 44
E, eV/atom: -4.609
Formation energy from the elements, meV/atom: -547
Total magnetic moment, μB per atom: 0.235

---

Entry 5:
A plane-wave DFT calculation with GGA-PBEsol was carried out for crystalline Zn2CdTe at its relaxed geometry.

abc: 3.081 3.081 8.597
angles: 90.00 90.00 90.00
Sites, in units of the cell vectors:
Cd 0.000 0.000 0.450
Te 0.500 0.500 0.771
Zn 0.000 0.000 0.052
Zn 0.500 0.500 0.226

Values from the calculation:
Symmetry: No. 99
E, eV/atom: -1.810
Total magnetic moment, μB per atom: 0.000
Raw formation energy, kcal/mol of atoms: 3.73

---

Entry 6:
A plane-wave DFT calculation with GGA-PBEsol was carried out for crystalline GeMoRu3 at its relaxed geometry.

abc: 4.560 4.560 4.560
angles: 90.00 90.00 90.00
Sites, in units of the cell vectors:
Ru 0.000 0.500 0.000
Ru 0.000 0.000 0.500
Ru 0.500 0.000 0.000
Mo 0.000 0.000 0.000
Ge 0.500 0.500 0.500

Values from the calculation:
Symmetry: No. 221
E, eV/atom: -7.761
Formation energy from the elements, meV/atom: 1684
Total magnetic moment, μB per atom: 0.000

---

Entry 7:
A plane-wave DFT calculation with GGA-PBEsol was carried out for crystalline ScSi2Au at its relaxed geometry.

abc: 3.390 3.390 6.274
angles: 90.00 90.00 105.57
Sites, in units of the cell vectors:
Au 0.500 0.500 0.500
Sc 0.500 0.500 0.000
Si 0.000 0.000 0.276
Si 0.000 0.000 0.724

Values from the calculation:
Symmetry: No. 65
E, eV/atom: -5.771
Total magnetic moment, μB per atom: 0.000
Raw formation energy, kcal/mol of atoms: -6.11

---

Entry 8:
A plane-wave DFT calculation with GGA-PBEsol was carried out for crystalline MgOs3 at its relaxed geometry.

abc: 2.761 2.761 8.846
angles: 90.00 90.00 120.00
Sites, in units of the cell vectors:
Mg 0.000 0.000 0.500
Os 0.333 0.667 0.236
Os 0.333 0.667 0.764
Os 0.000 0.000 0.000

Values from the calculation:
Symmetry: No. 187
E, eV/atom: -9.492
Formation energy from the elements, meV/atom: 99
Total magnetic moment, μB per atom: 0.000

---

Entry 9:
A plane-wave DFT calculation with GGA-PBEsol was carried out for crystalline YTe2Pt at its relaxed geometry.

abc: 3.795 4.810 4.810
angles: 90.00 90.00 90.00
Sites, in units of the cell vectors:
Pt 0.500 0.000 0.000
Te 0.000 0.000 0.500
Te 0.000 0.500 0.000
Y 0.500 0.500 0.500

Values from the calculation:
Symmetry: No. 123
E, eV/atom: -5.952
Total magnetic moment, μB per atom: 0.000
Raw formation energy, kcal/mol of atoms: -17.12

---

Entry 10:
A plane-wave DFT calculation with GGA-PBEsol was carried out for crystalline ZrCdP at its relaxed geometry.

abc: 4.371 4.371 4.371
angles: 60.00 60.00 60.00
Sites, in units of the cell vectors:
Cd 0.500 0.500 0.500
P 0.250 0.250 0.250
Zr 0.000 0.000 0.000

Values from the calculation:
Symmetry: No. 216
E, eV/atom: -5.545
Formation energy from the elements, meV/atom: -186
Total magnetic moment, μB per atom: 0.000

---

Entry 11:
A plane-wave DFT calculation with GGA-PBEsol was carried out for crystalline Na4Zr2TiC4O16 at its relaxed geometry.

abc: 6.075 6.075 17.979
angles: 86.48 86.48 66.14
Sites, in units of the cell vectors:
Na 0.542 0.662 0.418
Na 0.041 0.216 0.434
Na 0.662 0.542 0.918
Na 0.458 0.338 0.582
Na 0.959 0.784 0.566
Na 0.338 0.458 0.082
Na 0.784 0.959 0.066
Na 0.216 0.041 0.934
Zr 0.996 0.620 0.248
Zr 0.380 0.004 0.252
Zr 0.620 0.996 0.748
Zr 0.004 0.380 0.752
Ti 0.307 0.693 0.750
Ti 0.693 0.307 0.250
C 0.741 0.071 0.883
C 0.071 0.741 0.383
C 0.797 0.503 0.101
C 0.929 0.259 0.617
C 0.203 0.497 0.899
C 0.503 0.797 0.601
C 0.497 0.203 0.399
C 0.259 0.929 0.117
O 0.590 0.721 0.537
O 0.052 0.388 0.628
O 0.948 0.612 0.372
O 0.097 0.808 0.445
O 0.789 0.172 0.821
O 0.172 0.789 0.321
O 0.271 0.656 0.864
O 0.360 0.368 0.240
O 0.410 0.279 0.463
O 0.656 0.271 0.364
O 0.057 0.424 0.867
O 0.983 0.744 0.738
O 0.344 0.729 0.636
O 0.192 0.903 0.055
O 0.721 0.590 0.037
O 0.576 0.943 0.633
O 0.729 0.344 0.136
O 0.017 0.256 0.262
O 0.943 0.576 0.133
O 0.903 0.192 0.555
O 0.828 0.211 0.679
O 0.256 0.017 0.762
O 0.424 0.057 0.367
O 0.632 0.640 0.260
O 0.388 0.052 0.128
O 0.368 0.360 0.740
O 0.640 0.632 0.760
O 0.211 0.828 0.179
O 0.279 0.410 0.963
O 0.744 0.983 0.238
O 0.808 0.097 0.945
O 0.612 0.948 0.872

Values from the calculation:
Symmetry: No. 15
E, eV/atom: -7.953
Total magnetic moment, μB per atom: 0.000
Raw formation energy, kcal/mol of atoms: -51.30

---

Entry 12:
A plane-wave DFT calculation with GGA-PBEsol was carried out for crystalline InHgPb2 at its relaxed geometry.

abc: 4.787 4.787 5.768
angles: 114.52 114.52 90.00
Sites, in units of the cell vectors:
Pb 0.750 0.250 0.500
Pb 0.250 0.750 0.500
Hg 0.500 0.500 0.000
In 0.000 0.000 0.000

Values from the calculation:
Symmetry: No. 139
E, eV/atom: -2.879
Formation energy from the elements, meV/atom: 7
Total magnetic moment, μB per atom: 0.000

---

Entry 13:
A plane-wave DFT calculation with GGA-PBEsol was carried out for crystalline TaPtSe2S at its relaxed geometry.

abc: 4.757 4.757 5.115
angles: 90.00 90.00 90.00
Last column: magnetic moment on the atom in μB.
Sites, in units of the cell vectors:
S 0.500 0.500 0.500  -0.25
Se 0.000 0.500 0.000  -0.07
Se 0.500 0.000 0.000  -0.07
Pt 0.000 0.000 0.000  0.01
Ta 0.000 0.000 0.500  1.29

Values from the calculation:
Symmetry: No. 123
E, eV/atom: -5.200
Total magnetic moment, μB per atom: 0.255
Raw formation energy, kcal/mol of atoms: 25.81

---

Entry 14:
A plane-wave DFT calculation with GGA-PBEsol was carried out for crystalline CuRu at its relaxed geometry.

abc: 2.646 2.646 8.331
angles: 90.00 90.00 120.00
Sites, in units of the cell vectors:
Cu 0.667 0.333 0.120
Cu 0.333 0.667 0.880
Ru 0.667 0.333 0.623
Ru 0.333 0.667 0.377

Values from the calculation:
Symmetry: No. 164
E, eV/atom: -7.103
Formation energy from the elements, meV/atom: 150
Total magnetic moment, μB per atom: 0.000

---

Entry 15:
A plane-wave DFT calculation with GGA-PBEsol was carried out for crystalline YBrO at its relaxed geometry.

abc: 3.795 3.795 10.377
angles: 79.46 79.46 60.00
Sites, in units of the cell vectors:
Y 0.713 0.713 0.861
Y 0.287 0.287 0.139
Br 0.891 0.891 0.328
Br 0.109 0.109 0.672
O 0.639 0.639 0.084
O 0.361 0.361 0.916

Values from the calculation:
Symmetry: No. 166
E, eV/atom: -7.616
Total magnetic moment, μB per atom: 0.000
Raw formation energy, kcal/mol of atoms: -68.46

---

Entry 16:
A plane-wave DFT calculation with GGA-PBEsol was carried out for crystalline Cu2SeS3 at its relaxed geometry.

abc: 6.135 6.135 7.049
angles: 100.22 100.22 118.78
Sites, in units of the cell vectors:
Cu 0.590 0.477 0.021
Cu 0.756 0.222 0.493
Cu 0.477 0.590 0.521
Cu 0.222 0.756 0.993
Se 0.154 0.894 0.524
Se 0.894 0.154 0.024
S 0.103 0.206 0.444
S 0.206 0.103 0.944
S 0.830 0.390 0.831
S 0.390 0.830 0.331
S 0.530 0.742 0.859
S 0.742 0.530 0.359

Values from the calculation:
Symmetry: No. 9
E, eV/atom: -4.347
Total magnetic moment, μB per atom: 0.000
Raw formation energy, kcal/mol of atoms: -1.59

---

Entry 17:
A plane-wave DFT calculation with GGA-PBEsol was carried out for crystalline V6GaSb at its relaxed geometry.

abc: 4.802 4.802 4.802
angles: 90.00 90.00 90.00
Sites, in units of the cell vectors:
Sb 0.000 0.000 0.000
Ga 0.500 0.500 0.500
V 0.743 0.000 0.500
V 0.000 0.500 0.743
V 0.500 0.257 0.000
V 0.257 0.000 0.500
V 0.000 0.500 0.257
V 0.500 0.743 0.000

Values from the calculation:
Symmetry: No. 200
E, eV/atom: -8.422
Total magnetic moment, μB per atom: 0.002
Raw formation energy, kcal/mol of atoms: -4.81

---

Entry 18:
A plane-wave DFT calculation with GGA-PBEsol was carried out for crystalline Sr2TlBi at its relaxed geometry.

abc: 5.732 5.732 5.732
angles: 60.00 60.00 60.00
Sites, in units of the cell vectors:
Sr 0.250 0.250 0.250
Sr 0.750 0.750 0.750
Tl 0.000 0.000 0.000
Bi 0.500 0.500 0.500

Values from the calculation:
Symmetry: No. 225
E, eV/atom: -3.268
Formation energy from the elements, meV/atom: -619
Total magnetic moment, μB per atom: 0.000

---

Entry 19:
A plane-wave DFT calculation with GGA-PBEsol was carried out for crystalline LiSe3N at its relaxed geometry.

abc: 4.557 4.557 4.557
angles: 90.00 90.00 90.00
Last column: magnetic moment on the atom in μB.
Sites, in units of the cell vectors:
Li 0.000 0.000 0.000  0.00
Se 0.000 0.500 0.000  0.01
Se 0.000 0.000 0.500  0.01
Se 0.500 0.000 0.000  0.01
N 0.500 0.500 0.500  1.69

Values from the calculation:
Symmetry: No. 221
E, eV/atom: -3.100
Total magnetic moment, μB per atom: 0.511
Raw formation energy, kcal/mol of atoms: 30.18

---

Entry 20:
A plane-wave DFT calculation with GGA-PBEsol was carried out for crystalline Ca5P3HO13 at its relaxed geometry.

abc: 6.842 9.403 9.403
angles: 120.00 90.00 90.00
Sites, in units of the cell vectors:
Ca 0.000 0.667 0.333
Ca 0.500 0.333 0.667
Ca 0.002 0.333 0.667
Ca 0.502 0.667 0.333
Ca 0.750 0.752 0.748
Ca 0.750 0.996 0.248
Ca 0.750 0.252 0.004
Ca 0.250 0.248 0.252
Ca 0.250 0.004 0.752
Ca 0.250 0.748 0.996
H 0.070 0.000 0.000
H 0.570 0.000 0.000
O 0.748 0.671 0.156
O 0.748 0.486 0.329
O 0.748 0.844 0.514
O 0.248 0.329 0.844
O 0.248 0.514 0.671
O 0.248 0.156 0.486
O 0.754 0.410 0.875
O 0.754 0.465 0.590
O 0.754 0.125 0.535
O 0.254 0.590 0.125
O 0.254 0.535 0.410
O 0.254 0.875 0.465
O 0.930 0.662 0.915
O 0.930 0.253 0.338
O 0.930 0.085 0.747
O 0.430 0.338 0.085
O 0.430 0.747 0.662
O 0.430 0.915 0.253
O 0.065 0.348 0.091
O 0.065 0.742 0.652
O 0.065 0.909 0.258
O 0.565 0.652 0.909
O 0.565 0.258 0.348
O 0.565 0.091 0.742
O 0.213 0.000 0.000
O 0.713 0.000 0.000
P 0.749 0.601 0.969
P 0.749 0.368 0.399
P 0.749 0.031 0.632
P 0.249 0.399 0.031
P 0.249 0.632 0.601
P 0.249 0.969 0.368

Values from the calculation:
Symmetry: No. 173
E, eV/atom: -7.374
Total magnetic moment, μB per atom: 0.000